Record 1
DFT (PBE) results for a relaxed structure of RhWCl2.

Structure (POSCAR):
```
RhWCl2
1.0
2.953 0.000 0.000
0.000 2.953 0.000
0.000 0.000 8.366
W Cl Rh
1 2 1
direct
0.500 0.500 0.728
0.000 0.000 0.926
0.500 0.500 0.314
0.000 0.000 0.533
```

## Properties
As for the total energy: -6.059 eV/atom. Its symmetry is P4mm (99). As for the uncorrected formation energy: -0.06 eV per atom. As for the energy above the most stable polymorph in this dataset: 132.2 meV/atom.

***

Record 2
DFT (PBE) results for a relaxed structure of BaTePCl2.

Structure (POSCAR):
```
BaTePCl2
1.0
-2.764 -1.424 4.851
3.947 -4.062 1.056
3.781 4.584 3.500
Ba Te Cl P
1 1 2 1
direct
0.000 0.000 0.000
0.500 0.500 0.500
0.500 0.000 0.000
0.000 0.500 0.000
0.000 0.000 0.500
```

## Properties
As for the total energy: -3.048 eV/atom. Its symmetry is P4/mmm (123). As for the uncorrected formation energy: -0.21 eV per atom. As for the energy above the most stable polymorph in this dataset: 442.9 meV/atom.

***

Record 3
DFT (PBE) results for a relaxed structure of BeAgSb.

Structure (POSCAR):
```
BeAgSb
1.0
-8.716 -3.272 -0.204
1.491 -4.112 2.278
-0.958 2.260 4.705
Ag Be Sb
4 4 4
direct
0.560 0.250 0.892
0.440 0.750 0.108
0.940 0.750 0.392
0.060 0.250 0.608
0.500 0.500 0.500
0.500 0.000 0.500
0.000 0.000 0.000
0.000 0.500 0.000
0.187 0.750 0.760
0.813 0.250 0.240
0.313 0.250 0.260
0.687 0.750 0.740
```

## Properties
As for the total energy: -3.306 eV/atom. Its symmetry is Pnma (62). As for the uncorrected formation energy: 0.26 eV per atom.

***

Record 4
DFT (PBE) results for a relaxed structure of Li2ThZnAu4.

Structure (POSCAR):
```
Li2ThZnAu4
1.0
-4.236 1.263 0.768
-3.174 -0.816 -3.064
-4.081 -7.510 2.942
Au Th Li Zn
4 1 2 1
direct
0.603 0.603 0.192
0.397 0.397 0.808
0.126 0.126 0.621
0.874 0.874 0.379
0.000 0.000 0.000
0.233 0.233 0.300
0.767 0.767 0.700
0.500 0.500 0.500
```

## Properties
As for the total energy: -3.734 eV/atom. Its symmetry is R-3m (166). The calculation puts the energy of formation from the pure elements at -0.53 eV per atom.

***

Record 5
DFT (PBE) results for a relaxed structure of Sr2MgAlS5.

Structure (POSCAR):
```
Sr2MgAlS5
1.0
-3.585 -1.149 1.032
2.693 -6.603 -5.382
4.629 -5.880 9.529
S Sr Mg Al
10 4 2 2
direct
0.293 0.587 0.662
0.643 0.287 0.504
0.949 0.898 0.541
0.357 0.713 0.004
0.051 0.102 0.041
0.498 0.997 0.281
0.311 0.622 0.377
0.502 0.003 0.781
0.689 0.378 0.877
0.707 0.413 0.162
0.128 0.257 0.314
0.884 0.768 0.183
0.872 0.743 0.814
0.116 0.232 0.683
0.786 0.572 0.523
0.214 0.428 0.023
0.565 0.131 0.939
0.435 0.869 0.439
```

## Properties
As for the total energy: -4.725 eV/atom. Its symmetry is Cmc2_1 (36). As for the uncorrected formation energy: -1.47 eV per atom.

***

Record 6
DFT (PBE) results for a relaxed structure of BaCr2NiAg.

Structure (POSCAR):
```
BaCr2NiAg
1.0
5.110 0.000 0.000
0.000 4.987 0.000
0.000 0.000 5.110
Ni Cr Ba Ag
1 2 1 1
direct
0.000 0.500 0.000
0.500 0.000 0.000
0.000 0.000 0.500
0.500 0.500 0.500
0.000 0.000 0.000
```

## Properties
As for the total energy: -5.020 eV/atom. Its symmetry is P4/mmm (123). The calculation puts the energy of formation from the pure elements at 0.94 eV per atom.

***

Record 7
DFT (PBE) results for a relaxed structure of Pm5Al2Pb2.

Structure (POSCAR):
```
Pm5Al2Pb2
1.0
8.167 0.000 0.000
0.000 8.297 0.000
0.000 -4.149 8.060
Pb Pm Al
4 10 4
direct
0.500 0.711 0.422
0.000 0.789 0.578
0.500 0.289 0.578
0.000 0.211 0.422
0.500 0.500 0.000
0.825 0.545 0.730
0.675 0.045 0.730
0.000 0.000 0.000
0.825 0.815 0.270
0.175 0.455 0.270
0.175 0.185 0.730
0.325 0.685 0.730
0.675 0.315 0.270
0.325 0.955 0.270
0.116 0.614 0.000
0.616 0.886 0.000
0.884 0.386 0.000
0.384 0.114 0.000
```

## Properties
As for the total energy: -4.719 eV/atom. Its symmetry is Cmce (64). The calculation puts the energy of formation from the pure elements at -0.42 eV per atom.

***

Record 8
DFT (PBE) results for a relaxed structure of LiNd2ScS4.

Structure (POSCAR):
```
LiNd2ScS4
1.0
-0.346 1.997 3.346
5.203 -3.487 2.619
2.305 5.508 -3.049
Nd S Sc Li
2 4 1 1
direct
0.500 0.000 0.500
0.000 0.500 0.500
0.000 0.255 0.774
0.000 0.745 0.226
0.500 0.240 0.223
0.500 0.760 0.777
0.000 0.000 0.000
0.500 0.500 0.000
```

## Properties
As for the total energy: -6.153 eV/atom. Its symmetry is P2/m (10). As for the uncorrected formation energy: -1.87 eV per atom.

***

no.,total magnetization (μB per cell)
1,0.0
2,2.3
3,0.0
4,0.0
5,0.0
6,9.5
7,0.0
8,0.0